(1)
A relaxed SiGe crystal, computed with PBE-GGA.

Uncorrected formation energy, eV per atom: 0.33

abc: 11.2046 3.8816 6.9411
angles: 90.00 90.00 90.00
With the nearest neighbours (Å) after each atom.
Fractional positions:
Si 0.0000 0.0264 0.0000  4 Ge 2.44-2.49
Si 0.2070 0.3389 0.2695  4 Ge 2.41-2.49
Si 0.2930 0.6611 0.7695  4 Ge 2.41-2.49
Si 0.5000 0.9736 0.5000  4 Ge 2.44-2.49
Si 0.7070 0.6611 0.7695  4 Ge 2.41-2.49
Si 0.7930 0.3389 0.2695  4 Ge 2.41-2.49
Ge 0.0000 0.5179 0.2181  4 Si 2.44-2.49
Ge 0.2086 0.1610 0.9246  4 Si 2.41-2.49
Ge 0.2914 0.8390 0.4246  4 Si 2.41-2.49
Ge 0.5000 0.4821 0.7181  4 Si 2.44-2.49
Ge 0.7086 0.8390 0.4246  4 Si 2.41-2.49
Ge 0.7914 0.1610 0.9246  4 Si 2.41-2.49

---

(2)
A relaxed Si3Ge crystal, computed with PBE-GGA.

Uncorrected formation energy, eV per atom: 0.54

abc: 4.5014 4.5014 4.5014
angles: 60.00 60.00 60.00
With the nearest neighbours (Å) after each atom.
Fractional positions:
Si 0.0000 0.0000 0.0000  8 Si 2.76
Si 0.2500 0.2500 0.2500  4 Ge 2.76, 4 Si 2.76
Si 0.7500 0.7500 0.7500  4 Ge 2.76, 4 Si 2.76
Ge 0.5000 0.5000 0.5000  8 Si 2.76

---

(3)
A relaxed SiGe crystal, computed with PBE-GGA.

Uncorrected formation energy, eV per atom: 0.22

abc: 6.8930 6.8930 6.8930
angles: 90.00 90.00 90.00
With the nearest neighbours (Å) after each atom.
Fractional positions:
Si 0.0000 0.2500 0.5000  4 Ge 2.44
Si 0.0000 0.7500 0.5000  4 Ge 2.44
Si 0.2500 0.5000 0.0000  4 Ge 2.44
Si 0.5000 0.0000 0.2500  4 Ge 2.44
Si 0.5000 0.0000 0.7500  4 Ge 2.44
Si 0.7500 0.5000 0.0000  4 Ge 2.44
Ge 0.0000 0.5000 0.2500  4 Si 2.44
Ge 0.0000 0.5000 0.7500  4 Si 2.44
Ge 0.2500 0.0000 0.5000  4 Si 2.44
Ge 0.5000 0.2500 0.0000  4 Si 2.44
Ge 0.5000 0.7500 0.0000  4 Si 2.44
Ge 0.7500 0.0000 0.5000  4 Si 2.44

---

(4)
A relaxed SiGe crystal, computed with PBE-GGA.

Uncorrected formation energy, eV per atom: 0.31

abc: 5.8235 5.8235 2.6558
angles: 96.38 96.38 52.57
With the nearest neighbours (Å) after each atom.
Fractional positions:
Si 0.1142 0.1142 0.4130  3 Si 2.49-2.66, 3 Ge 2.58-2.60
Si 0.8858 0.8858 0.5870  3 Si 2.49-2.66, 3 Ge 2.58-2.60
Ge 0.3620 0.3620 0.6434  3 Si 2.58-2.60, 2 Ge 2.66
Ge 0.6380 0.6380 0.3566  3 Si 2.58-2.60, 2 Ge 2.66

---

(5)
A relaxed SiGe crystal, computed with PBE-GGA.

Uncorrected formation energy, eV per atom: 0.34

abc: 7.6895 6.7573 6.7268
angles: 69.54 55.42 55.05
With the nearest neighbours (Å) after each atom.
Fractional positions:
Si 0.0324 0.0324 0.7176  4 Ge 2.42-2.47
Si 0.2824 0.2824 0.9676  4 Ge 2.42-2.47
Si 0.7176 0.7176 0.0324  4 Ge 2.42-2.47
Si 0.9676 0.9676 0.2824  4 Ge 2.42-2.47
Ge 0.0383 0.7117 0.0383  4 Si 2.42-2.47
Ge 0.2883 0.9617 0.2883  4 Si 2.42-2.47
Ge 0.7117 0.0383 0.7117  4 Si 2.42-2.47
Ge 0.9617 0.2883 0.9617  4 Si 2.42-2.47

---

(6)
A relaxed Si23Ge4 crystal, computed with PBE-GGA.

Uncorrected formation energy, eV per atom: 0.30

abc: 10.1376 10.1376 10.1376
angles: 90.00 90.00 90.00
With the nearest neighbours (Å) after each atom.
Fractional positions:
Si 0.0000 0.1161 0.3107  4 Si 2.35-2.36
Si 0.0000 0.1161 0.6893  4 Si 2.35-2.36
Si 0.0000 0.2500 0.5000  4 Si 2.35
Si 0.0000 0.7500 0.5000  4 Si 2.35
Si 0.0000 0.8839 0.3107  4 Si 2.35-2.36
Si 0.0000 0.8839 0.6893  4 Si 2.35-2.36
Si 0.1161 0.3107 0.0000  4 Si 2.35-2.36
Si 0.1161 0.6893 0.0000  4 Si 2.35-2.36
Si 0.1831 0.1831 0.1831  4 Si 2.35-2.36
Si 0.1831 0.1831 0.8169  4 Si 2.35-2.36
Si 0.1831 0.8169 0.1831  4 Si 2.35-2.36
Si 0.1831 0.8169 0.8169  4 Si 2.35-2.36
Si 0.1893 0.3839 0.5000  4 Si 2.35-2.36
Si 0.1893 0.6161 0.5000  4 Si 2.35-2.36
Si 0.2500 0.5000 0.0000  4 Si 2.35
Si 0.3107 0.0000 0.1161  4 Si 2.35-2.36
Si 0.3107 0.0000 0.8839  4 Si 2.35-2.36
Si 0.3169 0.3169 0.3169  4 Si 2.35-2.36
Si 0.3169 0.3169 0.6831  4 Si 2.35-2.36
Si 0.3169 0.6831 0.3169  4 Si 2.35-2.36
Si 0.3169 0.6831 0.6831  4 Si 2.35-2.36
Si 0.3839 0.5000 0.1893  4 Si 2.35-2.36
Si 0.3839 0.5000 0.8107  4 Si 2.35-2.36
Si 0.5000 0.0000 0.2500  4 Si 2.35
Si 0.5000 0.0000 0.7500  4 Si 2.35
Si 0.5000 0.1893 0.3839  4 Si 2.35-2.36
Si 0.5000 0.1893 0.6161  4 Si 2.35-2.36
Si 0.5000 0.8107 0.3839  4 Si 2.35-2.36
Si 0.5000 0.8107 0.6161  4 Si 2.35-2.36
Si 0.6161 0.5000 0.1893  4 Si 2.35-2.36
Si 0.6161 0.5000 0.8107  4 Si 2.35-2.36
Si 0.6831 0.3169 0.3169  4 Si 2.35-2.36
Si 0.6831 0.3169 0.6831  4 Si 2.35-2.36
Si 0.6831 0.6831 0.3169  4 Si 2.35-2.36
Si 0.6831 0.6831 0.6831  4 Si 2.35-2.36
Si 0.6893 0.0000 0.1161  4 Si 2.35-2.36
Si 0.6893 0.0000 0.8839  4 Si 2.35-2.36
Si 0.7500 0.5000 0.0000  4 Si 2.35
Si 0.8107 0.3839 0.5000  4 Si 2.35-2.36
Si 0.8107 0.6161 0.5000  4 Si 2.35-2.36
Si 0.8169 0.1831 0.1831  4 Si 2.35-2.36
Si 0.8169 0.1831 0.8169  4 Si 2.35-2.36
Si 0.8169 0.8169 0.1831  4 Si 2.35-2.36
Si 0.8169 0.8169 0.8169  4 Si 2.35-2.36
Si 0.8839 0.3107 0.0000  4 Si 2.35-2.36
Si 0.8839 0.6893 0.0000  4 Si 2.35-2.36
Ge 0.0000 0.0000 0.0000  20 Si 3.21-3.36
Ge 0.0000 0.5000 0.2500  20 Si 3.39-3.77
Ge 0.0000 0.5000 0.7500  20 Si 3.39-3.77
Ge 0.2500 0.0000 0.5000  20 Si 3.39-3.77
Ge 0.5000 0.2500 0.0000  20 Si 3.39-3.77
Ge 0.5000 0.5000 0.5000  20 Si 3.21-3.36
Ge 0.5000 0.7500 0.0000  20 Si 3.39-3.77
Ge 0.7500 0.0000 0.5000  20 Si 3.39-3.77

---

(7)
A relaxed SiGe crystal, computed with PBE-GGA.

Uncorrected formation energy, eV per atom: 0.12

abc: 6.8463 6.8463 3.9507
angles: 90.00 90.00 90.00
With the nearest neighbours (Å) after each atom.
Fractional positions:
Si 0.1774 0.1774 0.0000  4 Ge 2.41-2.45
Si 0.3226 0.6774 0.5000  4 Ge 2.41-2.45
Si 0.6774 0.3226 0.5000  4 Ge 2.41-2.45
Si 0.8226 0.8226 0.0000  4 Ge 2.41-2.45
Ge 0.1799 0.8201 0.0000  4 Si 2.41-2.45
Ge 0.3201 0.3201 0.5000  4 Si 2.41-2.45
Ge 0.6799 0.6799 0.5000  4 Si 2.41-2.45
Ge 0.8201 0.1799 0.0000  4 Si 2.41-2.45

---

(8)
A relaxed SiGe crystal, computed with PBE-GGA.

Uncorrected formation energy, eV per atom: 0.03

abc: 3.9435 3.9435 6.5097
angles: 90.00 90.00 120.00
With the nearest neighbours (Å) after each atom.
Fractional positions:
Si 0.3333 0.6667 0.0578  3 Si 2.40, 1 Ge 2.43
Si 0.6667 0.3333 0.9422  3 Si 2.40, 1 Ge 2.43
Ge 0.3333 0.6667 0.4318  1 Si 2.43, 3 Ge 2.44
Ge 0.6667 0.3333 0.5682  1 Si 2.43, 3 Ge 2.44

---

(9)
A relaxed SiGe crystal, computed with PBE-GGA.

Uncorrected formation energy, eV per atom: 0.36

abc: 11.0950 11.0950 4.0665
angles: 90.00 90.00 90.00
With the nearest neighbours (Å) after each atom.
Fractional positions:
Si 0.1034 0.3887 0.0000  4 Ge 2.44
Si 0.1146 0.7300 0.5000  4 Ge 2.43-2.52
Si 0.2700 0.1146 0.5000  4 Ge 2.43-2.52
Si 0.3887 0.8966 0.0000  4 Ge 2.44
Si 0.6113 0.1034 0.0000  4 Ge 2.44
Si 0.7300 0.8854 0.5000  4 Ge 2.43-2.52
Si 0.8854 0.2700 0.5000  4 Ge 2.43-2.52
Si 0.8966 0.6113 0.0000  4 Ge 2.44
Ge 0.1121 0.2667 0.5000  4 Si 2.43-2.52
Ge 0.1162 0.6086 0.0000  4 Si 2.44
Ge 0.2667 0.8879 0.5000  4 Si 2.43-2.52
Ge 0.3914 0.1162 0.0000  4 Si 2.44
Ge 0.6086 0.8838 0.0000  4 Si 2.44
Ge 0.7333 0.1121 0.5000  4 Si 2.43-2.52
Ge 0.8838 0.3914 0.0000  4 Si 2.44
Ge 0.8879 0.7333 0.5000  4 Si 2.43-2.52

---

(10)
A relaxed Si7Ge crystal, computed with PBE-GGA.

Uncorrected formation energy, eV per atom: 0.01

abc: 5.4972 5.4972 5.4972
angles: 90.00 90.00 90.00
With the nearest neighbours (Å) after each atom.
Fractional positions:
Si 0.0000 0.0000 0.5000  4 Si 2.37
Si 0.0000 0.5000 0.0000  4 Si 2.37
Si 0.2471 0.2471 0.7529  3 Si 2.37, 1 Ge 2.41
Si 0.2471 0.7529 0.2471  3 Si 2.37, 1 Ge 2.41
Si 0.5000 0.0000 0.0000  4 Si 2.37
Si 0.7529 0.2471 0.2471  3 Si 2.37, 1 Ge 2.41
Si 0.7529 0.7529 0.7529  3 Si 2.37, 1 Ge 2.41
Ge 0.5000 0.5000 0.5000  4 Si 2.41

---

(11)
A relaxed SiGe4 crystal, computed with PBE-GGA.

Uncorrected formation energy, eV per atom: 0.68

abc: 4.7914 4.7914 4.7914
angles: 90.00 90.00 90.00
With the nearest neighbours (Å) after each atom.
Fractional positions:
Si 0.0000 0.0000 0.0000  6 Ge 2.40
Ge 0.0000 0.0000 0.5000  2 Si 2.40
Ge 0.0000 0.5000 0.0000  2 Si 2.40
Ge 0.5000 0.0000 0.0000  2 Si 2.40
Ge 0.5000 0.5000 0.5000  12 Ge 3.39

---

(12)
A relaxed Sm4SiGe crystal, computed with PBE-GGA.

Uncorrected formation energy, eV per atom: -0.51
Excess energy over the best structure of this formula in the dataset, meV per atom: 40.9

abc: 8.0956 8.0956 6.3410
angles: 106.42 106.42 112.19
With the nearest neighbours (Å) after each atom.
Fractional positions:
Sm 0.0591 0.6892 0.9073  2 Si 3.09-3.11, 2 Ge 3.10-3.11
Sm 0.2404 0.3779 0.7201  2 Si 3.01-3.13, 2 Ge 3.02-3.03, 1 Sm 3.27
Sm 0.3108 0.9409 0.5927  2 Si 3.09-3.11, 2 Ge 3.10-3.11
Sm 0.3779 0.2404 0.2201  2 Si 3.01-3.13, 2 Ge 3.02-3.03, 1 Sm 3.27
Sm 0.6221 0.7596 0.7799  2 Si 3.01-3.13, 2 Ge 3.02-3.03, 1 Sm 3.27
Sm 0.6892 0.0591 0.4073  2 Si 3.09-3.11, 2 Ge 3.10-3.11
Sm 0.7596 0.6221 0.2799  2 Si 3.01-3.13, 2 Ge 3.02-3.03, 1 Sm 3.27
Sm 0.9409 0.3108 0.0927  2 Si 3.09-3.11, 2 Ge 3.10-3.11
Si 0.3697 0.6303 0.2500  8 Sm 3.01-3.13
Si 0.6303 0.3697 0.7500  8 Sm 3.01-3.13
Ge 0.0013 0.9987 0.2500  8 Sm 3.02-3.11, 2 Ge 3.17
Ge 0.9987 0.0013 0.7500  8 Sm 3.02-3.11, 2 Ge 3.17

---

Question: The lowest uncorrected formation energy belongs to which entry?
Answer: Sm4SiGe